Record 1
DFT (PBE-GGA) results for an optimized crystal structure of TlZnCl3.

The space group is R3m (No. 160, hexagonal axes) and the conventional cell measures 7.3577, 7.3577 and 10.1061 Å, with angles of 90.00, 90.00 and 120.00 degrees. The inequivalent atoms are Tl at (0.0000, 0.0000, 0.0000), Zn at (0.0000, 0.0000, 0.5403) and Cl at (0.0097, 0.5048, 0.9031).

As for the energy relative to the elements, uncorrected: -1041 meV per atom. The calculation puts the density at 3.95 g/cm³. The energy above the most stable polymorph in this dataset comes out at 79 meV/atom. For the calculated total energy, the calculation gives -43.2 eV per cell. The density of states at the Fermi level is 0.0000 states/eV per atom.


Record 2
DFT (PBE-GGA) results for an optimized crystal structure of TlZnCl2.

The space group is Pmmm (No. 47) and the conventional cell measures 3.816, 3.873 and 7.515 Å, with angles of 90.00, 90.00 and 90.00 degrees. The inequivalent atoms are Tl at (0.000, 0.000, 0.000), Zn at (0.500, 0.000, 0.500) and Cl at (0.500, 0.500, 0.261).

As for the energy relative to the elements, uncorrected: -561 meV per atom. The calculation puts the density at 5.09 g/cm³. The energy above the most stable polymorph in this dataset comes out at 142 meV/atom. For the calculated total energy, the calculation gives -9.6 eV per cell. The density of states at the Fermi level is 0.6996 states/eV per atom.


Record 3
DFT (PBE-GGA) results for an optimized crystal structure of Tl6ZnCl8.

The space group is R-3 (No. 148, hexagonal axes) and the conventional cell measures 9.4750, 9.4750 and 18.3834 Å, with angles of 90.00, 90.00 and 120.00 degrees. The inequivalent atoms are Tl at (0.0213, 0.6274, 0.4209), Zn at (0.0000, 0.0000, 0.5000), Cl at (0.0000, 0.0000, 0.1669) and Cl at (0.0037, 0.7828, 0.5774).

As for the energy relative to the elements, uncorrected: -1012 meV per atom. The calculation puts the density at 5.49 g/cm³. For the calculated total energy, the calculation gives -136.3 eV per cell. The density of states at the Fermi level is 0.0000 states/eV per atom.